A relaxed structure of Sr2TcBr. Source: Alexandria via LeMat-Bulk, functional PBE.

Results
V = 31.1 Å³/atom
M_tot = 1.689 μB/f.u.
E_form (uncorrected) = -0.04 eV/atom

a b c (Å): 3.6594 3.8155 17.8253
angles (deg): 90.00 90.00 90.00
Space group Imm2 (No. 44)
Unique sites:
Sr: 0.0000 0.0000 0.0000 [2 per cell]
Sr: 0.0000 0.5000 0.2690 [2 per cell]
Tc: 0.0000 0.5000 0.8681 [2 per cell]
Br: 0.0000 0.0000 0.6106 [2 per cell]

***

A relaxed structure of Pm3Cu8Ir. Source: Alexandria via LeMat-Bulk, functional PBE.

Results
V = 16.6 Å³/atom
M_tot = 0.000 μB/f.u.
ΔE_f = -1.543 eV/f.u.

a b c (Å): 5.1609 5.1609 25.8345
angles (deg): 90.00 90.00 120.00
Space group R3m (No. 160, hexagonal axes)
Unique sites:
Pm: 0.0000 0.0000 0.0000 [3 per cell]
Pm: 0.0000 0.0000 0.1302 [3 per cell]
Pm: 0.0000 0.0000 0.5242 [3 per cell]
Cu: 0.0000 0.0000 0.3216 [3 per cell]
Cu: 0.0000 0.0000 0.8222 [3 per cell]
Cu: 0.1682 0.3363 0.4021 [9 per cell]
Cu: 0.1705 0.3410 0.9073 [9 per cell]
Ir: 0.0000 0.0000 0.6431 [3 per cell]

***

A relaxed structure of Y2CdAg. Source: Alexandria via LeMat-Bulk, functional PBE.

Results
V = 25.3 Å³/atom
M_tot = 0.000 μB/f.u.
ΔE_f = -1.350 eV/f.u.

a b c (Å): 5.2391 3.6797 10.4798
angles (deg): 90.00 90.00 90.00
Space group Pmma (No. 51)
Unique sites:
Y: 0.2500 0.0000 0.1206 [2 per cell]
Y: 0.2500 0.0000 0.6337 [2 per cell]
Cd: 0.2500 0.5000 0.3808 [2 per cell]
Ag: 0.2500 0.5000 0.8759 [2 per cell]